CoRhSe2 | GGA-PBE | relaxed

Uncorrected formation energy = 0.14 eV per atom

a = 3.1126 Å, b = 3.1126 Å, c = 6.2401 Å
α = 90.00°, β = 90.00°, γ = 90.00°
Closest atoms and distances in Å follow each position.
Fractional coordinates of all 4 atoms:
Co: 0.0000 0.0000 0.0000  8 Se 2.67
Rh: 0.0000 0.0000 0.5000  8 Se 2.73
Se: 0.5000 0.5000 0.2419  4 Co 2.67, 4 Rh 2.73
Se: 0.5000 0.5000 0.7581  4 Co 2.67, 4 Rh 2.73



Zn2Au | GGA-PBE | relaxed

Energy relative to the elements = -72 meV/atom

a = 5.0849 Å, b = 5.0849 Å, c = 5.0849 Å
α = 60.00°, β = 60.00°, γ = 60.00°
Closest atoms and distances in Å follow each position.
Fractional coordinates of all 6 atoms:
Zn: 0.0000 0.0000 0.0000  6 Zn 2.54
Zn: 0.0000 0.0000 0.5000  6 Zn 2.54
Zn: 0.0000 0.5000 0.0000  6 Zn 2.54
Zn: 0.5000 0.0000 0.0000  6 Zn 2.54
Au: 0.3750 0.3750 0.3750  12 Zn 2.98, 4 Au 3.11
Au: 0.6250 0.6250 0.6250  12 Zn 2.98, 4 Au 3.11



Hf2ZnHgPb | GGA-PBE | relaxed

Energy relative to the elements = 533 meV/atom

a = 5.0371 Å, b = 5.0371 Å, c = 4.8355 Å
α = 90.00°, β = 90.00°, γ = 90.00°
Closest atoms and distances in Å follow each position.
Fractional coordinates of all 5 atoms:
Hf: 0.0000 0.5000 0.0000  2 Zn 2.52
Hf: 0.5000 0.0000 0.0000  2 Zn 2.52
Zn: 0.0000 0.0000 0.0000  2 Hg 2.42, 4 Hf 2.52
Hg: 0.0000 0.0000 0.5000  2 Zn 2.42
Pb: 0.5000 0.5000 0.5000  8 Hf 3.49, 4 Hg 3.56



AlHgOs2 | GGA-PBE | relaxed

Energy relative to the elements = 367 meV/atom
Relative energy among the computed polymorphs = 0.167 eV per atom

a = 4.7175 Å, b = 4.7175 Å, c = 5.1193 Å
α = 101.59°, β = 101.59°, γ = 35.24°
Closest atoms and distances in Å follow each position.
Fractional coordinates of all 4 atoms:
Al: 0.0000 0.0000 0.0000  6 Os 2.57-2.83, 2 Al 2.86
Hg: 0.5000 0.5000 0.5000  6 Os 2.81-2.92, 2 Hg 2.86, 4 Al 2.93
Os: 0.2678 0.2678 0.7914  3 Al 2.57-2.83, 4 Os 2.64-2.86, 1 Hg 2.81
Os: 0.7322 0.7322 0.2086  3 Al 2.57-2.83, 4 Os 2.64-2.86, 1 Hg 2.81



Li2SmSb2 | GGA-PBE | relaxed

Uncorrected formation energy = -0.69 eV per atom

a = 8.6597 Å, b = 8.6597 Å, c = 3.3413 Å
α = 100.88°, β = 100.88°, γ = 28.02°
Closest atoms and distances in Å follow each position.
Fractional coordinates of all 5 atoms:
Li: 0.2032 0.2032 0.2056  5 Sb 2.87-2.99, 4 Li 3.09-3.10
Li: 0.7968 0.7968 0.7944  5 Sb 2.87-2.99, 4 Li 3.09-3.10
Sm: 0.0000 0.0000 0.0000  2 Sm 3.34, 2 Li 3.35, 8 Sb 3.35-3.37
Sb: 0.3770 0.3770 0.3759  5 Li 2.87-2.99
Sb: 0.6230 0.6230 0.6241  5 Li 2.87-2.99



KCoBiPd2 | GGA-PBE | relaxed

Energy relative to the elements = 1726 meV/atom

a = 4.8638 Å, b = 4.8638 Å, c = 6.0160 Å
α = 90.00°, β = 90.00°, γ = 90.00°
Closest atoms and distances in Å follow each position.
Fractional coordinates of all 5 atoms:
K: 0.0000 0.0000 0.0000  4 Pd 2.43
Co: 0.5000 0.5000 0.5000  4 Bi 3.44
Bi: 0.0000 0.0000 0.5000  2 K 3.01
Pd: 0.0000 0.5000 0.0000  2 K 2.43
Pd: 0.5000 0.0000 0.0000  2 K 2.43



Hf3ZnO | GGA-PBE | relaxed

Uncorrected formation energy = -0.95 eV per atom

a = 4.3888 Å, b = 4.3888 Å, c = 4.3888 Å
α = 90.00°, β = 90.00°, γ = 90.00°
Closest atoms and distances in Å follow each position.
Fractional coordinates of all 5 atoms:
Hf: 0.0000 0.0000 0.5000  2 O 2.19
Hf: 0.0000 0.5000 0.0000  2 O 2.19
Hf: 0.5000 0.0000 0.0000  2 O 2.19
Zn: 0.5000 0.5000 0.5000  12 Hf 3.10
O: 0.0000 0.0000 0.0000  6 Hf 2.19



YNi12B4 | GGA-PBE | relaxed

Energy relative to the elements = -120 meV/atom

a = 6.2750 Å, b = 6.2750 Å, c = 6.2750 Å
α = 109.47°, β = 109.47°, γ = 109.47°
Closest atoms and distances in Å follow each position.
Fractional coordinates of all 17 atoms:
Y: 0.0000 0.0000 0.0000  12 Ni 2.76
Ni: 0.1499 0.3332 0.8168  2 B 1.97
Ni: 0.1832 0.5164 0.3332  2 B 1.97
Ni: 0.1832 0.8501 0.6668  2 B 1.97
Ni: 0.3332 0.1832 0.5164  2 B 1.97
Ni: 0.3332 0.8168 0.1499  2 B 1.97
Ni: 0.4836 0.6668 0.8168  2 B 1.97
Ni: 0.5164 0.3332 0.1832  2 B 1.97
Ni: 0.6668 0.1832 0.8501  2 B 1.97
Ni: 0.6668 0.8168 0.4836  2 B 1.97
Ni: 0.8168 0.1499 0.3332  2 B 1.97
Ni: 0.8168 0.4836 0.6668  2 B 1.97
Ni: 0.8501 0.6668 0.1832  2 B 1.97
B: 0.0000 0.0000 0.5000  6 Ni 1.97
B: 0.0000 0.5000 0.0000  6 Ni 1.97
B: 0.5000 0.0000 0.0000  6 Ni 1.97
B: 0.5000 0.5000 0.5000  6 Ni 1.97



SmHo3In4 | GGA-PBE | relaxed

Energy relative to the elements = -460 meV/atom
Relative energy among the computed polymorphs = 0.000 eV per atom

a = 10.7700 Å, b = 7.2262 Å, c = 5.4888 Å
α = 90.00°, β = 90.00°, γ = 90.00°
Closest atoms and distances in Å follow each position.
Fractional coordinates of all 16 atoms:
Sm: 0.0000 0.0000 0.0000  8 In 3.30-3.31, 4 Ho 3.58-3.61
Sm: 0.5000 0.0000 0.0000  8 In 3.30-3.31, 4 Ho 3.58-3.61
Ho: 0.0000 0.5000 0.0000  8 In 3.25-3.26, 2 Ho 3.56, 2 Sm 3.61
Ho: 0.2500 0.0000 0.4309  8 In 3.24-3.37, 2 Sm 3.58, 2 Ho 3.61
Ho: 0.2500 0.5000 0.4232  8 In 3.24-3.29, 4 Ho 3.56-3.61
Ho: 0.5000 0.5000 0.0000  8 In 3.25-3.26, 2 Ho 3.56, 2 Sm 3.61
Ho: 0.7500 0.0000 0.5691  8 In 3.24-3.37, 2 Sm 3.58, 2 Ho 3.61
Ho: 0.7500 0.5000 0.5768  8 In 3.24-3.29, 4 Ho 3.56-3.61
In: 0.0000 0.2556 0.5000  6 Ho 3.25-3.29, 2 Sm 3.31, 3 In 3.53
In: 0.0000 0.7444 0.5000  6 Ho 3.25-3.29, 2 Sm 3.31, 3 In 3.53
In: 0.2500 0.2552 0.9172  6 Ho 3.24-3.37, 2 Sm 3.30, 3 In 3.53-3.54
In: 0.2500 0.7448 0.9172  6 Ho 3.24-3.37, 2 Sm 3.30, 3 In 3.53-3.54
In: 0.5000 0.2556 0.5000  6 Ho 3.25-3.29, 2 Sm 3.31, 3 In 3.53
In: 0.5000 0.7444 0.5000  6 Ho 3.25-3.29, 2 Sm 3.31, 3 In 3.53
In: 0.7500 0.2552 0.0828  6 Ho 3.24-3.37, 2 Sm 3.30, 3 In 3.53-3.54
In: 0.7500 0.7448 0.0828  6 Ho 3.24-3.37, 2 Sm 3.30, 3 In 3.53-3.54



TlCd2Ni | GGA-PBE | relaxed

Energy relative to the elements = 272 meV/atom
Relative energy among the computed polymorphs = 0.186 eV per atom

a = 3.2796 Å, b = 4.6621 Å, c = 5.3244 Å
α = 90.00°, β = 90.00°, γ = 90.00°
Closest atoms and distances in Å follow each position.
Fractional coordinates of all 4 atoms:
Tl: 0.0000 0.0000 0.0000  4 Ni 2.85, 4 Cd 3.13
Cd: 0.0000 0.5000 0.5000  4 Cd 2.85, 4 Ni 3.13
Cd: 0.5000 0.0000 0.5000  4 Cd 2.85, 4 Tl 3.13
Ni: 0.5000 0.5000 0.0000  4 Tl 2.85, 4 Cd 3.13



Nd6TlTe3As2 | GGA-PBE | relaxed

Uncorrected formation energy = -1.31 eV per atom

a = 9.9495 Å, b = 9.9495 Å, c = 9.0011 Å
α = 103.74°, β = 103.74°, γ = 25.38°
Closest atoms and distances in Å follow each position.
Fractional coordinates of all 12 atoms:
Nd: 0.0072 0.0072 0.2527  1 As 3.03, 2 Tl 3.13, 3 Te 3.15-3.25
Nd: 0.3266 0.3266 0.4324  3 As 2.98-3.01, 3 Te 3.26-3.27
Nd: 0.3330 0.3330 0.8968  2 As 3.02, 1 Tl 3.15, 3 Te 3.16-3.28
Nd: 0.6670 0.6670 0.1032  2 As 3.02, 1 Tl 3.15, 3 Te 3.16-3.28
Nd: 0.6734 0.6734 0.5676  3 As 2.98-3.01, 3 Te 3.26-3.27
Nd: 0.9928 0.9928 0.7473  1 As 3.03, 2 Tl 3.13, 3 Te 3.15-3.25
Tl: 0.5000 0.5000 0.0000  6 Nd 3.13-3.15
Te: 0.1653 0.1653 0.8314  6 Nd 3.16-3.28
Te: 0.5000 0.5000 0.5000  6 Nd 3.15-3.27
Te: 0.8347 0.8347 0.1686  6 Nd 3.16-3.28
As: 0.1683 0.1683 0.3357  6 Nd 2.98-3.03
As: 0.8317 0.8317 0.6643  6 Nd 2.98-3.03



Ba3Pd2Pb9 | GGA-PBE | relaxed

Energy relative to the elements = -335 meV/atom

a = 9.8093 Å, b = 9.8093 Å, c = 9.8093 Å
α = 150.69°, β = 99.60°, γ = 87.77°
Closest atoms and distances in Å follow each position.
Fractional coordinates of all 14 atoms:
Ba: 0.0000 0.0000 0.0000  8 Pb 3.61
Ba: 0.3098 0.3098 0.0000  2 Pd 3.62, 10 Pb 3.66-3.88
Ba: 0.6902 0.6902 0.0000  2 Pd 3.62, 10 Pb 3.66-3.88
Pd: 0.3080 0.5000 0.8080  6 Pb 2.92-3.12
Pd: 0.6920 0.5000 0.1920  6 Pb 2.92-3.12
Pb: 0.0017 0.6387 0.3630  1 Pd 2.92, 2 Pb 3.16
Pb: 0.1589 0.8672 0.2917  2 Pd 3.12, 4 Pb 3.16-3.35
Pb: 0.2757 0.6387 0.6370  1 Pd 2.92, 2 Pb 3.16
Pb: 0.4245 0.1328 0.2917  2 Pd 3.12, 4 Pb 3.16-3.35
Pb: 0.5000 0.0000 0.5000  4 Pb 3.24, 4 Pd 3.47
Pb: 0.5755 0.8672 0.7083  2 Pd 3.12, 4 Pb 3.16-3.35
Pb: 0.7243 0.3613 0.3630  1 Pd 2.92, 2 Pb 3.16
Pb: 0.8411 0.1328 0.7083  2 Pd 3.12, 4 Pb 3.16-3.35
Pb: 0.9983 0.3613 0.6370  1 Pd 2.92, 2 Pb 3.16



Tb2DyPa2Co5 | GGA-PBE | relaxed

Energy relative to the elements = -141 meV/atom

a = 10.5186 Å, b = 10.5186 Å, c = 3.4607 Å
α = 90.00°, β = 90.00°, γ = 90.00°
Closest atoms and distances in Å follow each position.
Fractional coordinates of all 20 atoms:
Tb: 0.1716 0.3284 0.0000  1 Pa 2.87, 6 Co 3.02-3.08
Tb: 0.3284 0.8284 0.0000  1 Pa 2.87, 6 Co 3.02-3.08
Tb: 0.6716 0.1716 0.0000  1 Pa 2.87, 6 Co 3.02-3.08
Tb: 0.8284 0.6716 0.0000  1 Pa 2.87, 6 Co 3.02-3.08
Dy: 0.0000 0.0000 0.0000  8 Co 2.96
Dy: 0.5000 0.5000 0.0000  8 Co 2.96
Pa: 0.1351 0.6351 0.0000  6 Co 2.49-2.65
Pa: 0.3649 0.1351 0.0000  6 Co 2.49-2.65
Pa: 0.6351 0.8649 0.0000  6 Co 2.49-2.65
Pa: 0.8649 0.3649 0.0000  6 Co 2.49-2.65
Co: 0.0000 0.5000 0.5000  4 Pa 2.65, 4 Co 2.93
Co: 0.0398 0.7758 0.5000  2 Pa 2.49
Co: 0.2242 0.0398 0.5000  2 Pa 2.49
Co: 0.2758 0.5398 0.5000  2 Pa 2.49
Co: 0.4602 0.2758 0.5000  2 Pa 2.49
Co: 0.5000 0.0000 0.5000  4 Pa 2.65, 4 Co 2.93
Co: 0.5398 0.7242 0.5000  2 Pa 2.49
Co: 0.7242 0.4602 0.5000  2 Pa 2.49
Co: 0.7758 0.9602 0.5000  2 Pa 2.49
Co: 0.9602 0.2242 0.5000  2 Pa 2.49



Pm5Te2O12 | GGA-PBE | relaxed

Uncorrected formation energy = -2.56 eV per atom

a = 7.1824 Å, b = 7.1824 Å, c = 7.6545 Å
α = 105.65°, β = 105.65°, γ = 51.54°
Closest atoms and distances in Å follow each position.
Fractional coordinates of all 19 atoms:
Pm: 0.0000 0.0000 0.0000  6 O 2.36-2.46
Pm: 0.2980 0.2980 0.1360  7 O 2.36-2.56
Pm: 0.3051 0.3051 0.6720  7 O 2.39-2.55
Pm: 0.6949 0.6949 0.3280  7 O 2.39-2.55
Pm: 0.7020 0.7020 0.8640  7 O 2.36-2.56
Te: 0.2455 0.7545 0.5000  6 O 2.08-2.19
Te: 0.7545 0.2455 0.5000  6 O 2.08-2.19
O: 0.0001 0.0001 0.3085  2 Te 2.12, 1 Pm 2.36
O: 0.9999 0.9999 0.6915  2 Te 2.12, 1 Pm 2.36
O: 0.0946 0.5967 0.9263  4 Pm 2.36-2.46
O: 0.1008 0.5629 0.4148  1 Te 2.08
O: 0.4033 0.9054 0.0737  4 Pm 2.36-2.46
O: 0.4371 0.8992 0.5852  1 Te 2.08
O: 0.4985 0.4985 0.6953  2 Te 2.19
O: 0.5015 0.5015 0.3047  2 Te 2.19
O: 0.5629 0.1008 0.4148  1 Te 2.08
O: 0.5967 0.0946 0.9263  4 Pm 2.36-2.46
O: 0.8992 0.4371 0.5852  1 Te 2.08
O: 0.9054 0.4033 0.0737  4 Pm 2.36-2.46



ZnHPd2Rh | GGA-PBE | relaxed

Relative energy among the computed polymorphs = 0.000 eV per atom

a = 3.9773 Å, b = 3.9773 Å, c = 3.8915 Å
α = 90.00°, β = 90.00°, γ = 90.00°
Closest atoms and distances in Å follow each position.
Fractional coordinates of all 5 atoms:
Zn: 0.0000 0.0000 0.0000  8 Pd 2.78, 4 Rh 2.81
H: 0.5000 0.5000 0.5000  2 Rh 1.95, 4 Pd 1.99
Pd: 0.0000 0.5000 0.5000  2 H 1.99
Pd: 0.5000 0.0000 0.5000  2 H 1.99
Rh: 0.5000 0.5000 0.0000  2 H 1.95



Y2BeCuC | GGA-PBE | relaxed

Energy relative to the elements = -196 meV/atom

a = 4.9895 Å, b = 4.9895 Å, c = 3.4603 Å
α = 90.00°, β = 90.00°, γ = 90.00°
Closest atoms and distances in Å follow each position.
Fractional coordinates of all 5 atoms:
Y: 0.0000 0.5000 0.0000  2 C 2.49
Y: 0.5000 0.0000 0.0000  2 C 2.49
Be: 0.0000 0.0000 0.5000  2 C 1.73
Cu: 0.5000 0.5000 0.5000  8 Y 3.04
C: 0.0000 0.0000 0.0000  2 Be 1.73



KLaIn2 | GGA-PBE | relaxed

Energy relative to the elements = 40 meV/atom
Relative energy among the computed polymorphs = 0.288 eV per atom

a = 5.6320 Å, b = 5.6320 Å, c = 5.6320 Å
α = 60.00°, β = 60.00°, γ = 60.00°
Closest atoms and distances in Å follow each position.
Fractional coordinates of all 4 atoms:
K: 0.0000 0.0000 0.0000  4 La 3.45, 4 In 3.45
La: 0.7500 0.7500 0.7500  4 In 3.45, 4 K 3.45
In: 0.2500 0.2500 0.2500  4 In 3.45, 4 K 3.45
In: 0.5000 0.5000 0.5000  4 In 3.45, 4 La 3.45



Mg2InSbPd4 | GGA-PBE | relaxed

Uncorrected formation energy = -0.64 eV per atom

a = 8.0061 Å, b = 8.0061 Å, c = 8.0061 Å
α = 33.33°, β = 33.33°, γ = 33.33°
Closest atoms and distances in Å follow each position.
Fractional coordinates of all 8 atoms:
Mg: 0.2481 0.2481 0.2481  8 Pd 2.79-2.88
Mg: 0.7519 0.7519 0.7519  8 Pd 2.79-2.88
In: 0.5000 0.5000 0.5000  8 Pd 2.82-2.83
Sb: 0.0000 0.0000 0.0000  8 Pd 2.81-2.82
Pd: 0.1242 0.1242 0.1242  4 Mg 2.79-2.81, 1 Sb 2.82, 3 In 2.82
Pd: 0.3751 0.3751 0.3751  3 Sb 2.81, 4 Mg 2.83-2.88, 1 In 2.83
Pd: 0.6249 0.6249 0.6249  3 Sb 2.81, 4 Mg 2.83-2.88, 1 In 2.83
Pd: 0.8758 0.8758 0.8758  4 Mg 2.79-2.81, 1 Sb 2.82, 3 In 2.82



SrMgRe2 | GGA-PBE | relaxed

Energy relative to the elements = 933 meV/atom

a = 5.7796 Å, b = 5.7796 Å, c = 2.7545 Å
α = 97.68°, β = 97.68°, γ = 121.55°
Closest atoms and distances in Å follow each position.
Fractional coordinates of all 4 atoms:
Sr: 0.0000 0.0000 0.0000  2 Sr 2.75, 2 Mg 2.82, 4 Re 3.03
Mg: 0.5000 0.5000 0.0000  2 Mg 2.75, 2 Sr 2.82, 4 Re 3.03
Re: 0.0000 0.5000 0.5000  4 Re 2.75-2.82, 2 Mg 3.03, 2 Sr 3.03
Re: 0.5000 0.0000 0.5000  4 Re 2.75-2.82, 2 Mg 3.03, 2 Sr 3.03



P2Rh2Br | GGA-PBE | relaxed

Uncorrected formation energy = -0.30 eV per atom
Relative energy among the computed polymorphs = 0.000 eV per atom

a = 7.2494 Å, b = 7.2494 Å, c = 7.2494 Å
α = 148.70°, β = 148.70°, γ = 44.85°
Closest atoms and distances in Å follow each position.
Fractional coordinates of all 5 atoms:
P: 0.1556 0.1556 0.0000  4 Rh 2.33
P: 0.8444 0.8444 0.0000  4 Rh 2.33
Rh: 0.2500 0.7500 0.5000  4 P 2.33
Rh: 0.7500 0.2500 0.5000  4 P 2.33
Br: 0.5000 0.5000 0.0000  8 P 3.46



NdZnSb2 | GGA-PBE | relaxed

Uncorrected formation energy = -0.48 eV per atom

a = 4.6245 Å, b = 4.6245 Å, c = 4.7624 Å
α = 90.00°, β = 90.00°, γ = 90.00°
Closest atoms and distances in Å follow each position.
Fractional coordinates of all 4 atoms:
Nd: 0.0000 0.0000 0.0000  4 Zn 3.27, 8 Sb 3.32
Zn: 0.5000 0.5000 0.0000  4 Nd 3.27, 8 Sb 3.32
Sb: 0.0000 0.5000 0.5000  4 Sb 3.27, 4 Nd 3.32, 4 Zn 3.32
Sb: 0.5000 0.0000 0.5000  4 Sb 3.27, 4 Nd 3.32, 4 Zn 3.32



Er4ZnCu2 | GGA-PBE | relaxed

Energy relative to the elements = -170 meV/atom
Relative energy among the computed polymorphs = 0.000 eV per atom

a = 8.3448 Å, b = 8.3448 Å, c = 8.3448 Å
α = 34.00°, β = 34.00°, γ = 34.00°
Closest atoms and distances in Å follow each position.
Fractional coordinates of all 7 atoms:
Er: 0.1209 0.1209 0.1209  4 Cu 2.93-2.98, 3 Zn 3.02
Er: 0.3723 0.3723 0.3723  4 Cu 2.95-3.03, 1 Zn 3.01
Er: 0.6277 0.6277 0.6277  4 Cu 2.95-3.03, 1 Zn 3.01
Er: 0.8791 0.8791 0.8791  4 Cu 2.93-2.98, 3 Zn 3.02
Zn: 0.5000 0.5000 0.5000  8 Er 3.01-3.02
Cu: 0.2473 0.2473 0.2473  8 Er 2.93-3.03
Cu: 0.7527 0.7527 0.7527  8 Er 2.93-3.03



Number 1: raw total energy -20.868 eV for the cell shown. Number 2: raw total energy -12.083 eV for the cell shown. Number 3: raw total energy -22.527 eV for the cell shown. Number 4: raw total energy -25.034 eV for the cell shown. Number 5: raw total energy -20.259 eV for the cell shown. Number 6: raw total energy -13.842 eV for the cell shown. Number 7: raw total energy -40.843 eV for the cell shown. Number 8: raw total energy -104.584 eV for the cell shown. Number 9: raw total energy -66.174 eV for the cell shown. Number 10: raw total energy -8.891 eV for the cell shown. Number 11: raw total energy -65.444 eV for the cell shown. Number 12: raw total energy -54.223 eV for the cell shown. Number 13: raw total energy -139.581 eV for the cell shown. Number 14: raw total energy -138.094 eV for the cell shown. Number 15: raw total energy -23.372 eV for the cell shown. Number 16: raw total energy -30.956 eV for the cell shown. Number 17: raw total energy -11.341 eV for the cell shown. Number 18: raw total energy -35.962 eV for the cell shown. Number 19: raw total energy -24.441 eV for the cell shown. Number 20: raw total energy -28.708 eV for the cell shown. Number 21: raw total energy -16.198 eV for the cell shown. Number 22: raw total energy -28.910 eV for the cell shown.